Density functional theory data (GGA-PBE) for a relaxed CuAuSe3S crystal.

Summary:
As for the uncorrected energy: -44.000 eV per cell. Its space group is P2_1/m. The energy above the most stable polymorph in this dataset comes out at 0.0 meV/atom.

Unit cell a=4.375 b=7.470 c=8.084 alpha=90.00 beta=91.26 gamma=90.00
Fractional coordinates of all 12 atoms:
Cu1 0.007 0.250 0.168
Cu2 0.993 0.750 0.832
Au1 0.500 0.000 0.500
Au2 0.500 0.500 0.500
Se1 0.066 0.750 0.134
Se2 0.400 0.004 0.191
Se3 0.400 0.496 0.191
Se4 0.600 0.504 0.809
Se5 0.600 0.996 0.809
Se6 0.934 0.250 0.866
S1 0.182 0.750 0.569
S2 0.818 0.250 0.431